Compound: Rb2Sn3Pb2
Source: the Alexandria database
Functional: PBE
Structure: relaxed

Results
* calculated density: 6.2 g/cm3
* energy of formation from the pure elements: -0.13 eV/atom
* SG: C2/m

a = 7.177 Å, b = 7.177 Å, c = 8.263 Å
α = 115.72°, β = 115.72°, γ = 42.40°
Element x y z (fractional)
Rb (0.156, 0.156, 0.296)
Rb (0.844, 0.844, 0.704)
Sn (0.416, 0.416, 0.076)
Sn (0.500, 0.500, 0.500)
Sn (0.584, 0.584, 0.924)
Pb (0.151, 0.151, 0.777)
Pb (0.849, 0.849, 0.223)